(1)
# RbBa2LiHg, optimized geometry, DFT GGA-PBE
# Electronic total energy (eV per atom): -1.4762
# ΔE_f (kJ per mole of atoms): -6.80
data_RbBa2LiHg
_space_group_name_H-M_alt 'P 1'
_space_group_IT_number 1
_space_group_name_Hall 'P 1'
_cell_length_a 6.7965
_cell_length_b 6.7965
_cell_length_c 5.6274
_cell_angle_alpha 90.00
_cell_angle_beta 90.00
_cell_angle_gamma 90.00
loop_
_atom_site_label
_atom_site_type_symbol
_atom_site_fract_x
_atom_site_fract_y
_atom_site_fract_z
_atom_site_occupancy
Hg1 Hg 0.0000 0.0000 0.0000 1
Rb1 Rb 0.5000 0.5000 0.5000 1
Li1 Li 0.0000 0.0000 0.5000 1
Ba1 Ba 0.0000 0.5000 0.0000 1
Ba2 Ba 0.5000 0.0000 0.0000 1

=====

(2)
# CaCr2Rh, optimized geometry, DFT GGA-PBE
# Electronic total energy (eV per atom): -6.7277
# ΔE_f (kJ per mole of atoms): 40.74
data_CaCr2Rh
_space_group_name_H-M_alt 'P 1'
_space_group_IT_number 1
_space_group_name_Hall 'P 1'
_cell_length_a 4.4007
_cell_length_b 2.8065
_cell_length_c 5.7837
_cell_angle_alpha 78.38
_cell_angle_beta 90.00
_cell_angle_gamma 90.00
loop_
_atom_site_label
_atom_site_type_symbol
_atom_site_fract_x
_atom_site_fract_y
_atom_site_fract_z
_atom_site_occupancy
Cr1 Cr 0.0000 0.5939 0.4071 1
Cr2 Cr 0.0000 0.9061 0.0929 1
Rh1 Rh 0.5000 0.2500 0.2500 1
Ca1 Ca 0.5000 0.7500 0.7500 1

=====

(3)
# SiH, optimized geometry, DFT GGA-PBE
# Electronic total energy (eV per atom): -3.4073
data_SiH
_space_group_name_H-M_alt 'P 1'
_space_group_IT_number 1
_space_group_name_Hall 'P 1'
_cell_length_a 5.2897
_cell_length_b 5.2897
_cell_length_c 5.2897
_cell_angle_alpha 90.00
_cell_angle_beta 90.00
_cell_angle_gamma 90.00
loop_
_atom_site_label
_atom_site_type_symbol
_atom_site_fract_x
_atom_site_fract_y
_atom_site_fract_z
_atom_site_occupancy
Si1 Si 0.0000 0.5000 0.7500 1
Si2 Si 0.2500 0.0000 0.5000 1
H1 H 0.5000 0.0000 0.7500 1
Si3 Si 0.7500 0.0000 0.5000 1
H2 H 0.0000 0.2500 0.5000 1
H3 H 0.2500 0.5000 0.0000 1
H4 H 0.7500 0.5000 0.0000 1
Si4 Si 0.5000 0.2500 0.0000 1
Si5 Si 0.0000 0.5000 0.2500 1
H5 H 0.0000 0.7500 0.5000 1
Si6 Si 0.5000 0.7500 0.0000 1
H6 H 0.5000 0.0000 0.2500 1

=====

no.,mass density (g cm⁻³)
1,3.63
2,5.86
3,1.96